Here is a geometry-optimized Hf3Ti2In2 structure from Alexandria. Energies are from GGA-PBE.

a b c (Å): 2.9815 4.9643 10.0816
angles (deg): 104.28 90.00 90.00
Element x y z (fractional)
Ti  0.0000  0.4324  0.8658
Hf  0.0000  0.7098  0.4198
Ti  0.0000  0.5676  0.1342
Hf  0.0000  0.0000  0.0000
In  0.5000  0.8587  0.7170
Hf  0.0000  0.2902  0.5802
In  0.5000  0.1413  0.2830

Calculated values
Space group: No. 10
ΔH_f (0 K) in kJ/mol of formula units: 93
N(E_F) in states/eV/cell: 7.6
Magnetization in μB/atom: 0.0000

---

Here is a geometry-optimized Ho8Ge3Te4As structure from Alexandria. Energies are from GGA-PBE.

a b c (Å): 8.4300 8.5652 8.4301
angles (deg): 119.49 120.00 90.00
Element x y z (fractional)
Ho  0.7589  0.2814  0.0224
Te  0.0000  0.0000  0.0000
Te  0.5000  0.0000  0.5000
Ho  0.2411  0.7187  0.4823
Te  0.0000  0.0000  0.5000
As  0.0000  0.5000  0.0000
Te  0.5000  0.0000  0.0000
Ho  0.7400  0.7200  0.4800
Ge  0.5000  0.5000  0.0000
Ho  0.2600  0.2800  0.5200
Ge  0.5000  0.5000  0.5000
Ho  0.7589  0.2813  0.5177
Ge  0.0000  0.5000  0.5000
Ho  0.7365  0.7186  0.9776
Ho  0.2635  0.2814  0.0224
Ho  0.2411  0.7186  0.9776

Calculated values
Space group: No. 166
N(E_F) in states/eV/cell: 3.3
Formation energy (no corrections) in eV/f.u.: -20.23
Magnetization in μB/atom: 0.0000

---

Here is a geometry-optimized CaRhCl structure from Alexandria. Energies are from GGA-PBE.

a b c (Å): 4.6169 4.6169 8.9306
angles (deg): 90.00 90.00 120.00
Element x y z (fractional)
Rh  0.0000  0.0000  0.5000
Cl  0.0000  0.0000  0.2500
Ca  0.3333  0.6667  0.2500
Cl  0.0000  0.0000  0.7500
Ca  0.6667  0.3333  0.7500
Rh  0.0000  0.0000  0.0000

Calculated values
Space group: No. 194
N(E_F) in states/eV/cell: 2.2
Formation energy (no corrections) in eV/f.u.: -1.08
Magnetization in μB/atom: 0.0000

---

Here is a geometry-optimized Sm2Ho12Er5 structure from Alexandria. Energies are from GGA-PBE.

a b c (Å): 9.1589 12.3153 8.4560
angles (deg): 132.50 90.00 111.83
Element x y z (fractional)
Er  0.0000  0.0000  0.5000
Ho  0.5657  0.7472  0.4017
Ho  0.8185  0.2528  0.5983
Er  0.3029  0.6057  0.6146
Ho  0.4423  0.8846  0.2150
Sm  0.6826  0.0000  0.0000
Er  0.7677  0.5354  0.1113
Er  0.6971  0.3943  0.3854
Ho  0.9063  0.8127  0.6960
Ho  0.9753  0.3132  0.0690
Sm  0.3174  0.0000  0.0000
Ho  0.0937  0.1873  0.3040
Ho  0.3379  0.3132  0.0690
Ho  0.0247  0.6868  0.9310
Ho  0.5577  0.1154  0.7850
Er  0.2323  0.4646  0.8887
Ho  0.6621  0.6868  0.9310
Ho  0.4343  0.2528  0.5983
Ho  0.1815  0.7472  0.4017

Calculated values
Space group: No. 12
ΔH_f (0 K) in kJ/mol of formula units: 242
N(E_F) in states/eV/cell: 27.6
Magnetization in μB/atom: 0.0000

---

Here is a geometry-optimized Ac6Ru2I structure from Alexandria. Energies are from GGA-PBE.

a b c (Å): 4.3381 7.1918 12.5733
angles (deg): 104.59 90.00 107.55
Element x y z (fractional)
Ac  0.3326  0.6652  0.9189
I  0.0000  0.0000  0.5000
Ac  0.7121  0.4241  0.6304
Ac  0.0340  0.0679  0.7882
Ac  0.2879  0.5759  0.3696
Ac  0.6674  0.3348  0.0811
Ac  0.9660  0.9321  0.2118
Ru  0.6775  0.3551  0.8365
Ru  0.3225  0.6449  0.1635

Calculated values
Space group: No. 12
N(E_F) in states/eV/cell: 6.7
Formation energy (no corrections) in eV/f.u.: -2.88
Magnetization in μB/atom: 0.0000

---

Here is a geometry-optimized RbGeO2 structure from Alexandria. Energies are from GGA-PBE.

a b c (Å): 7.2399 7.2399 7.2399
angles (deg): 30.03 30.03 30.03
Element x y z (fractional)
O  0.0818  0.0818  0.0818
O  0.9182  0.9182  0.9182
Rb  0.5000  0.5000  0.5000
Ge  0.0000  0.0000  0.0000

Calculated values
Space group: No. 166
N(E_F) in states/eV/cell: 1.3
Formation energy (no corrections) in eV/f.u.: -3.92
Magnetization in μB/atom: 0.0000